DFT (GGA-PBE) results for a relaxed structure of TlCdPb.

Lattice parameters (Å, degrees): 5.9654 5.9654 5.9654 144.77 134.87 58.51
With the nearest neighbours (Å) after each atom.
Positions (direct):
Tl (0.3380, 0.3380, 0.0000)  5 Cd 3.37-3.52, 5 Pb 3.37-3.44, 2 Tl 3.61
Pb (0.6617, 0.6617, 0.0000)  5 Cd 3.37-3.52, 5 Tl 3.37-3.44, 2 Pb 3.61
Cd (0.0002, 0.0002, 0.0000)  5 Pb 3.37-3.52, 5 Tl 3.37-3.52, 2 Cd 3.61

Results
As for the space group: Imm2. The calculation puts the size of the total moment at 0.00 μB per formula unit. Its density of states at the Fermi level is 0.44 states/eV per atom. The energy of formation is 0.047 eV per atom. The value obtained for the relative energy among the computed polymorphs is 0.021 eV per atom.

DFT (GGA-PBE) results for a relaxed structure of Tl6IrCl12.

Lattice parameters (Å, degrees): 8.9280 8.9280 8.9280 83.90 83.90 83.90
With the nearest neighbours (Å) after each atom.
Positions (direct):
Cl (0.8482, 0.8114, 0.1065)  1 Ir 2.33
Tl (0.7621, 0.4490, 0.9870)  4 Cl 2.93-3.23
Tl (0.5510, 0.0130, 0.2379)  4 Cl 2.93-3.23
Cl (0.6966, 0.9357, 0.5250)  3 Tl 2.93-2.98
Cl (0.1065, 0.8482, 0.8114)  1 Ir 2.33
Tl (0.9870, 0.7621, 0.4490)  4 Cl 2.93-3.23
Cl (0.8935, 0.1518, 0.1886)  1 Ir 2.33
Cl (0.0643, 0.4750, 0.3034)  3 Tl 2.93-2.98
Cl (0.8114, 0.1065, 0.8482)  1 Ir 2.33
Cl (0.4750, 0.3034, 0.0643)  3 Tl 2.93-2.98
Tl (0.2379, 0.5510, 0.0130)  4 Cl 2.93-3.23
Cl (0.1518, 0.1886, 0.8935)  1 Ir 2.33
Ir (0.0000, 0.0000, 0.0000)  6 Cl 2.33
Tl (0.4490, 0.9870, 0.7621)  4 Cl 2.93-3.23
Cl (0.9357, 0.5250, 0.6966)  3 Tl 2.93-2.98
Cl (0.1886, 0.8935, 0.1518)  1 Ir 2.33
Cl (0.3034, 0.0643, 0.4750)  3 Tl 2.93-2.98
Tl (0.0130, 0.2379, 0.5510)  4 Cl 2.93-3.23
Cl (0.5250, 0.6966, 0.9357)  3 Tl 2.93-2.98

Results
As for the space group: R-3. The calculation puts the size of the total moment at 0.00 μB per formula unit. Its density of states at the Fermi level is 1.07 states/eV per atom. The uncorrected formation energy is -717 meV/atom.

DFT (GGA-PBE) results for a relaxed structure of Sr2MoRh.

Lattice parameters (Å, degrees): 6.4255 6.4255 5.3235 65.54 65.54 35.59
With the nearest neighbours (Å) after each atom.
Positions (direct):
Sr (0.9810, 0.9810, 0.0191)  4 Mo 3.44, 4 Rh 3.51-3.77, 4 Sr 3.59-3.66
Rh (0.1892, 0.1892, 0.3107)  2 Mo 2.37
Sr (0.7617, 0.7617, 0.7383)  4 Rh 3.40, 2 Mo 3.41, 4 Sr 3.59-3.66
Mo (0.5681, 0.5681, 0.4319)  2 Rh 2.37

Results
As for the space group: Imm2. The calculation puts the size of the total moment at 0.00 μB per formula unit. Its density of states at the Fermi level is 0.99 states/eV per atom. The energy of formation is 0.385 eV per atom. The value obtained for the relative energy among the computed polymorphs is 0.233 eV per atom.

DFT (GGA-PBE) results for a relaxed structure of ErAgTe2.

Lattice parameters (Å, degrees): 4.4650 4.4650 7.3758 90.00 90.00 120.00
With the nearest neighbours (Å) after each atom.
Positions (direct):
Te (0.3333, 0.6667, 0.2276)  3 Ag 2.85, 3 Er 3.14
Te (0.0000, 0.0000, 0.7664)  1 Ag 2.77, 3 Er 3.04
Er (0.6667, 0.3333, 0.9849)  6 Te 3.04-3.14
Ag (0.0000, 0.0000, 0.3911)  4 Te 2.77-2.85

Results
As for the space group: P3m1. The calculation puts the size of the total moment at 0.00 μB per formula unit. The uncorrected formation energy is -877 meV/atom.

DFT (GGA-PBE) results for a relaxed structure of GaGePCl2.

Lattice parameters (Å, degrees): 5.1451 5.1451 4.8065 90.00 90.00 90.00
With the nearest neighbours (Å) after each atom.
Positions (direct):
Ge (0.0000, 0.0000, 0.0000)  2 P 2.40, 4 Cl 2.57
P (0.0000, 0.0000, 0.5000)  2 Ge 2.40
Cl (0.5000, 0.0000, 0.0000)  2 Ge 2.57
Cl (0.0000, 0.5000, 0.0000)  2 Ge 2.57
Ga (0.5000, 0.5000, 0.5000)  8 Cl 3.52, 4 P 3.64

Results
As for the space group: P4/mmm. The calculation puts the size of the total moment at 0.97 μB per formula unit. Its density of states at the Fermi level is 0.53 states/eV per atom. The value obtained for the relative energy among the computed polymorphs is 0.000 eV per atom. The uncorrected formation energy is 17 meV/atom.

DFT (GGA-PBE) results for a relaxed structure of Th4GeBiSe2.

Lattice parameters (Å, degrees): 6.1506 6.1506 7.5193 114.14 114.14 89.99
With the nearest neighbours (Å) after each atom.
Positions (direct):
Th (0.1746, 0.1746, 0.4754)  1 Ge 2.92, 4 Se 3.08, 1 Bi 3.22
Th (0.9375, 0.4372, 0.0000)  2 Se 3.07, 2 Bi 3.08, 2 Ge 3.08
Th (0.4372, 0.9375, 0.0000)  2 Se 3.07, 2 Bi 3.08, 2 Ge 3.08
Bi (0.4375, 0.4375, 0.0000)  6 Th 3.08-3.22
Se (0.1869, 0.6869, 0.5000)  6 Th 3.07-3.08
Se (0.6869, 0.1869, 0.5000)  6 Th 3.07-3.08
Th (0.6993, 0.6993, 0.5246)  1 Ge 2.92, 4 Se 3.08, 1 Bi 3.22
Ge (0.9373, 0.9373, 0.0000)  6 Th 2.92-3.08

Results
As for the space group: I4/mmm. The calculation puts the size of the total moment at 0.00 μB per formula unit. Its density of states at the Fermi level is 0.97 states/eV per atom. The uncorrected formation energy is -1069 meV/atom.

DFT (GGA-PBE) results for a relaxed structure of Mn2OsC6N6.

Lattice parameters (Å, degrees): 6.0978 6.0978 6.7381 90.00 90.00 120.00
With the nearest neighbours (Å) after each atom.
Positions (direct):
Mn (0.6667, 0.3333, 0.5000)  6 N 2.26
Os (0.0000, 0.0000, 0.0000)  6 C 2.01
C (0.2565, 0.2565, 0.8125)  1 N 1.19
C (0.7435, 0.7435, 0.1875)  1 N 1.19
Mn (0.3333, 0.6667, 0.5000)  6 N 2.26
C (0.0000, 0.2565, 0.1875)  1 N 1.19
N (0.0000, 0.3900, 0.3159)  1 C 1.19
C (0.0000, 0.7435, 0.8125)  1 N 1.19
N (0.6100, 0.6100, 0.3159)  1 C 1.19
N (0.6100, 0.0000, 0.6841)  1 C 1.19
N (0.0000, 0.6100, 0.6841)  1 C 1.19
N (0.3900, 0.0000, 0.3159)  1 C 1.19
C (0.2565, 0.0000, 0.1875)  1 N 1.19
N (0.3900, 0.3900, 0.6841)  1 C 1.19
C (0.7435, 0.0000, 0.8125)  1 N 1.19

Results
As for the space group: P-31m. The calculation puts the size of the total moment at 10.00 μB per formula unit. Its density of states at the Fermi level is 0.00 states/eV per atom. The uncorrected formation energy is 139 meV/atom.

DFT (GGA-PBE) results for a relaxed structure of RbTaCd.

Lattice parameters (Å, degrees): 3.5459 14.9799 3.5445 89.04 90.00 90.65
With the nearest neighbours (Å) after each atom.
Positions (direct):
Ta (0.2520, 0.0408, 0.7471)  4 Ta 2.79, 5 Cd 3.03-3.09
Rb (0.7327, 0.6508, 0.2752)  4 Rb 3.54-3.55, 4 Cd 3.77
Ta (0.7480, 0.9592, 0.2529)  4 Ta 2.79, 5 Cd 3.03-3.09
Cd (0.7580, 0.1614, 0.2384)  5 Ta 3.03-3.09
Cd (0.2420, 0.8386, 0.7616)  5 Ta 3.03-3.09
Rb (0.2673, 0.3492, 0.7248)  4 Rb 3.54-3.55, 4 Cd 3.77

Results
As for the space group: P-1. The calculation puts the size of the total moment at 0.00 μB per formula unit. Its density of states at the Fermi level is 0.85 states/eV per atom. The energy of formation is 0.391 eV per atom. The value obtained for the relative energy among the computed polymorphs is 0.000 eV per atom.

DFT (GGA-PBE) results for a relaxed structure of Mg2Ga6Pb.

Lattice parameters (Å, degrees): 4.1588 7.1730 7.6011 118.15 105.45 90.00
With the nearest neighbours (Å) after each atom.
Positions (direct):
Pb (0.0000, 0.0000, 0.0000)  8 Ga 3.09-3.45
Ga (0.3108, 0.0016, 0.6229)  4 Ga 2.58-2.75, 1 Mg 2.76
Ga (0.3108, 0.6213, 0.6229)  4 Ga 2.58-2.75, 1 Mg 2.76
Ga (0.5000, 0.3190, 0.0000)  3 Ga 2.58-2.60
Ga (0.6892, 0.3786, 0.3771)  4 Ga 2.58-2.75, 1 Mg 2.76
Mg (0.1208, 0.6235, 0.2470)  6 Ga 2.76-2.92
Ga (0.6892, 0.9984, 0.3771)  4 Ga 2.58-2.75, 1 Mg 2.76
Ga (0.5000, 0.6810, 0.0000)  3 Ga 2.58-2.60
Mg (0.8792, 0.3765, 0.7530)  6 Ga 2.76-2.92

Results
As for the space group: C2/m. The calculation puts the size of the total moment at 0.00 μB per formula unit. Its density of states at the Fermi level is 0.30 states/eV per atom. The energy of formation is -0.047 eV per atom.

DFT (GGA-PBE) results for a relaxed structure of BaBe2Br.

Lattice parameters (Å, degrees): 5.0113 4.8738 4.3150 90.00 90.00 90.00
With the nearest neighbours (Å) after each atom.
Positions (direct):
Br (0.5000, 0.2500, 0.2500)  4 Be 2.72
Be (0.0000, 0.2500, 0.0022)  2 Be 2.14-2.18
Be (0.0000, 0.2500, 0.4978)  2 Be 2.14-2.18
Ba (0.5000, 0.7500, 0.7500)  4 Br 3.25

Results
As for the space group: Pmmm. The calculation puts the size of the total moment at 0.00 μB per formula unit. Its density of states at the Fermi level is 0.58 states/eV per atom. The value obtained for the relative energy among the computed polymorphs is 0.095 eV per atom. The uncorrected formation energy is 107 meV/atom.

DFT (GGA-PBE) results for a relaxed structure of RbMnReW2.

Lattice parameters (Å, degrees): 4.6532 4.1769 4.6532 90.00 90.00 90.00
With the nearest neighbours (Å) after each atom.
Positions (direct):
Re (0.5000, 0.5000, 0.5000)  8 W 3.13, 4 Mn 3.29
W (0.0000, 0.0000, 0.5000)  2 Rb 2.33
W (0.5000, 0.0000, 0.0000)  2 Rb 2.33
Rb (0.0000, 0.0000, 0.0000)  2 Mn 2.09, 4 W 2.33
Mn (0.0000, 0.5000, 0.0000)  2 Rb 2.09

Results
As for the space group: P4/mmm. The calculation puts the size of the total moment at 0.00 μB per formula unit. Its density of states at the Fermi level is 1.22 states/eV per atom. The energy of formation is 3.783 eV per atom. The value obtained for the relative energy among the computed polymorphs is 1.977 eV per atom.

DFT (GGA-PBE) results for a relaxed structure of Hf4ZnN2.

Lattice parameters (Å, degrees): 3.3135 5.7882 11.4814 90.00 90.00 106.63
With the nearest neighbours (Å) after each atom.
Positions (direct):
Hf (0.7610, 0.5220, 0.1068)  3 N 2.25-2.26
Hf (0.5000, 0.0000, 0.5000)  4 N 2.33
Hf (0.2390, 0.4780, 0.8932)  3 N 2.25-2.26
N (0.1329, 0.2657, 0.0610)  6 Hf 2.25-2.33
Hf (0.2390, 0.4780, 0.6068)  3 N 2.25-2.26
Hf (0.5000, 0.0000, 0.0000)  4 N 2.33
Zn (0.3888, 0.7775, 0.2500)  6 Hf 2.67-2.73
N (0.8671, 0.7343, 0.9390)  6 Hf 2.25-2.33
Hf (0.0779, 0.1557, 0.2500)  2 N 2.25
Hf (0.9221, 0.8443, 0.7500)  2 N 2.25
N (0.1329, 0.2657, 0.4390)  6 Hf 2.25-2.33
Hf (0.7610, 0.5220, 0.3932)  3 N 2.25-2.26
N (0.8671, 0.7343, 0.5610)  6 Hf 2.25-2.33
Zn (0.6112, 0.2225, 0.7500)  6 Hf 2.67-2.73

Results
As for the space group: Cmcm. The calculation puts the size of the total moment at 0.00 μB per formula unit. Its density of states at the Fermi level is 0.24 states/eV per atom. The uncorrected formation energy is -1138 meV/atom.